No. 1
This record from Alexandria via LeMat-Bulk describes CrFeNi2H after structural relaxation. The functional is PBE-GGA.

The structure in POSCAR format:
```
CrFeNi2H
1.0
3.532 0.000 0.000
0.000 3.532 0.000
0.000 0.000 3.783
Ni Fe H Cr
2 1 1 1
Direct
0.000 0.500 0.000 Ni
0.500 0.000 0.000 Ni
0.500 0.500 0.500 Fe
0.000 0.000 0.000 H
0.000 0.000 0.500 Cr
```

Properties
Fermi-level density of states (states/eV/atom): 1.2581
VASP energy (eV/cell): -32.45
Energy above the lowest structure with this stoichiometry (eV per atom): 0.088
Crystal system: tetragonal


No. 2
This record from Alexandria via LeMat-Bulk describes CrFeNi2H after structural relaxation. The functional is PBE-GGA.

The structure in POSCAR format:
```
CrFeNi2H
1.0
-1.721 3.029 0.818
-1.361 0.119 -3.307
-2.934 -1.974 1.136
Ni Fe H Cr
2 1 1 1
Direct
0.000 0.500 0.000 Ni
0.500 0.000 0.000 Ni
0.000 0.000 0.500 Fe
0.000 0.000 0.000 H
0.500 0.500 0.500 Cr
```

Properties
Fermi-level density of states (states/eV/atom): 0.5953
VASP energy (eV/cell): -32.89
Energy above the lowest structure with this stoichiometry (eV per atom): 0.000
Crystal system: tetragonal


No. 3
This record from Alexandria via LeMat-Bulk describes Cr2FeNiH after structural relaxation. The functional is PBE-GGA.

The structure in POSCAR format:
```
Cr2FeNiH
1.0
-1.141 2.665 -2.133
-3.058 0.202 1.887
1.509 2.397 2.188
Ni Fe H Cr
1 1 1 2
Direct
0.500 0.500 0.500 Ni
0.000 0.000 0.500 Fe
0.000 0.000 0.000 H
0.000 0.500 0.000 Cr
0.500 0.000 0.000 Cr
```

Properties
Fermi-level density of states (states/eV/atom): 0.8639
VASP energy (eV/cell): -36.50
Energy above the lowest structure with this stoichiometry (eV per atom): 0.000
Crystal system: tetragonal


No. 4
This record from Alexandria via LeMat-Bulk describes Cr2FeNiH after structural relaxation. The functional is PBE-GGA.

The structure in POSCAR format:
```
Cr2FeNiH
1.0
-2.320 -1.636 2.210
-0.064 -2.859 -2.183
2.730 -1.437 1.802
Ni Fe H Cr
1 1 1 2
Direct
0.000 0.000 0.500 Ni
0.500 0.500 0.500 Fe
0.000 0.000 0.000 H
0.000 0.500 0.000 Cr
0.500 0.000 0.000 Cr
```

Properties
Fermi-level density of states (states/eV/atom): 0.7653
VASP energy (eV/cell): -36.40
Energy above the lowest structure with this stoichiometry (eV per atom): 0.020
Crystal system: tetragonal


No. 5
This record from Alexandria via LeMat-Bulk describes Cr2FeHOs after structural relaxation. The functional is PBE-GGA.

The structure in POSCAR format:
```
Cr2FeHOs
1.0
3.724 0.000 0.000
0.000 3.724 0.000
0.000 0.000 3.627
Cr Os Fe H
2 1 1 1
Direct
0.000 0.500 0.000 Cr
0.500 0.000 0.000 Cr
0.500 0.500 0.500 Os
0.000 0.000 0.500 Fe
0.000 0.000 0.000 H
```

Properties
Fermi-level density of states (states/eV/atom): 0.8465
VASP energy (eV/cell): -42.07
Energy above the lowest structure with this stoichiometry (eV per atom): 0.000
Crystal system: tetragonal


No. 6
This record from Alexandria via LeMat-Bulk describes CrFeHOs2 after structural relaxation. The functional is PBE-GGA.

The structure in POSCAR format:
```
CrFeHOs2
1.0
3.852 0.000 0.000
0.000 3.852 0.000
0.000 0.000 3.676
Cr Os Fe H
1 2 1 1
Direct
0.500 0.500 0.500 Cr
0.000 0.500 0.000 Os
0.500 0.000 0.000 Os
0.000 0.000 0.500 Fe
0.000 0.000 0.000 H
```

Properties
Fermi-level density of states (states/eV/atom): 0.7967
VASP energy (eV/cell): -43.18
Crystal system: tetragonal


No. 7
This record from Alexandria via LeMat-Bulk describes Cr2FeHOs after structural relaxation. The functional is PBE-GGA.

The structure in POSCAR format:
```
Cr2FeHOs
1.0
-3.597 -0.265 0.848
-0.348 -2.834 -2.362
0.829 -2.407 2.766
Cr Os Fe H
2 1 1 1
Direct
0.000 0.500 0.000 Cr
0.500 0.000 0.000 Cr
0.000 0.000 0.500 Os
0.500 0.500 0.500 Fe
0.000 0.000 0.000 H
```

Properties
Fermi-level density of states (states/eV/atom): 0.8180
VASP energy (eV/cell): -41.68
Energy above the lowest structure with this stoichiometry (eV per atom): 0.078
Crystal system: tetragonal


No. 8
This record from Alexandria via LeMat-Bulk describes PaCrFe2H6 after structural relaxation. The functional is PBE-GGA.

The structure in POSCAR format:
```
PaCrFe2H6
1.0
4.285 0.000 0.000
2.143 3.711 0.000
2.143 1.237 4.768
Pa Cr Fe H
1 1 2 6
Direct
0.000 0.000 0.000 Pa
0.500 0.500 0.500 Cr
0.798 0.798 0.607 Fe
0.202 0.202 0.393 Fe
0.094 0.555 0.796 H
0.555 0.094 0.796 H
0.445 0.445 0.204 H
0.906 0.445 0.204 H
0.445 0.906 0.204 H
0.555 0.555 0.796 H
```

Properties
Fermi-level density of states (states/eV/atom): 0.3831
VASP energy (eV/cell): -58.12
Crystal system: trigonal


No. 9
This record from Alexandria via LeMat-Bulk describes CrFe2HPd after structural relaxation. The functional is PBE-GGA.

The structure in POSCAR format:
```
CrFe2HPd
1.0
-1.601 -3.223 -0.837
3.174 -1.758 0.699
-1.060 -0.438 3.715
Cr Fe Pd H
1 2 1 1
Direct
0.000 0.000 0.500 Cr
0.000 0.500 0.000 Fe
0.500 0.000 0.000 Fe
0.500 0.500 0.500 Pd
0.000 0.000 0.000 H
```

Properties
Fermi-level density of states (states/eV/atom): 0.6801
VASP energy (eV/cell): -35.00
Crystal system: tetragonal


No. 10
This record from Alexandria via LeMat-Bulk describes CrFe2HPt after structural relaxation. The functional is PBE-GGA.

The structure in POSCAR format:
```
CrFe2HPt
1.0
3.703 0.000 0.000
0.000 3.703 0.000
0.000 0.000 3.861
Cr Fe Pt H
1 2 1 1
Direct
0.000 0.000 0.500 Cr
0.000 0.500 0.000 Fe
0.500 0.000 0.000 Fe
0.500 0.500 0.500 Pt
0.000 0.000 0.000 H
```

Properties
Fermi-level density of states (states/eV/atom): 0.5908
VASP energy (eV/cell): -36.54
Crystal system: tetragonal


No. 11
This record from Alexandria via LeMat-Bulk describes RbCr2FeH after structural relaxation. The functional is PBE-GGA.

The structure in POSCAR format:
```
RbCr2FeH
1.0
-2.215 3.597 3.726
-2.218 -2.757 1.344
3.991 -1.397 3.721
Cr Fe Rb H
2 1 1 1
Direct
0.000 0.000 0.500 Cr
0.500 0.000 0.000 Cr
0.500 0.500 0.500 Fe
0.000 0.000 0.000 Rb
0.000 0.500 0.000 H
```

Properties
Fermi-level density of states (states/eV/atom): 1.0673
VASP energy (eV/cell): -20.90
Crystal system: tetragonal


No. 12
This record from Alexandria via LeMat-Bulk describes Cr2FeHRh after structural relaxation. The functional is PBE-GGA.

The structure in POSCAR format:
```
Cr2FeHRh
1.0
3.704 0.000 0.000
0.000 3.704 0.000
0.000 0.000 3.615
Cr Rh Fe H
2 1 1 1
Direct
0.000 0.500 0.000 Cr
0.500 0.000 0.000 Cr
0.500 0.500 0.500 Rh
0.000 0.000 0.500 Fe
0.000 0.000 0.000 H
```

Properties
Fermi-level density of states (states/eV/atom): 0.9290
VASP energy (eV/cell): -38.34
Energy above the lowest structure with this stoichiometry (eV per atom): 0.000
Crystal system: tetragonal


No. 13
This record from Alexandria via LeMat-Bulk describes CrFeHRh2 after structural relaxation. The functional is PBE-GGA.

The structure in POSCAR format:
```
CrFeHRh2
1.0
3.756 0.000 0.000
0.000 3.756 0.000
0.000 0.000 3.765
Cr Rh Fe H
1 2 1 1
Direct
0.000 0.000 0.500 Cr
0.000 0.500 0.000 Rh
0.500 0.000 0.000 Rh
0.500 0.500 0.500 Fe
0.000 0.000 0.000 H
```

Properties
Fermi-level density of states (states/eV/atom): 1.1088
VASP energy (eV/cell): -35.69
Energy above the lowest structure with this stoichiometry (eV per atom): 0.033
Crystal system: tetragonal


No. 14
This record from Alexandria via LeMat-Bulk describes CrFeHRh2 after structural relaxation. The functional is PBE-GGA.

The structure in POSCAR format:
```
CrFeHRh2
1.0
-2.907 1.513 3.211
-2.259 -0.646 -1.740
-0.191 -4.211 1.811
Cr Rh Fe H
1 2 1 1
Direct
0.000 0.000 0.000 Cr
0.000 0.000 0.500 Rh
0.500 0.000 0.000 Rh
0.500 0.500 0.500 Fe
0.000 0.500 0.000 H
```

Properties
Fermi-level density of states (states/eV/atom): 1.9188
VASP energy (eV/cell): -31.87
Energy above the lowest structure with this stoichiometry (eV per atom): 0.796
Crystal system: tetragonal